Below is a geometry-optimized Cs3PSe4 structure, with properties calculated at the GGA-PBEsol level.

Geometry as CIF:
```
data_Cs3PSe4
_chemical_formula_sum 'Cs12 P4 Se16'
_space_group_name_H-M_alt 'P n m a'
_space_group_IT_number 62
_cell_length_a 9.833
_cell_length_b 11.847
_cell_length_c 9.941
_cell_angle_alpha 90.00
_cell_angle_beta 90.00
_cell_angle_gamma 90.00
loop_
_space_group_symop_operation_xyz
'x,y,z'
'-x,-y,-z'
'-x+1/2,-y,z+1/2'
'x+1/2,y,-z+1/2'
'x+1/2,-y+1/2,-z+1/2'
'-x+1/2,y+1/2,z+1/2'
'-x,y+1/2,-z'
'x,-y+1/2,z'
loop_
_atom_site_label
_atom_site_fract_x
_atom_site_fract_y
_atom_site_fract_z
Cs1 0.036 0.039 0.201
Cs2 0.157 0.750 0.407
P1 0.229 0.750 0.976
Se1 0.022 0.750 0.067
Se2 0.164 0.095 0.541
Se3 0.214 0.750 0.754
```

Values from the calculation:
The energy relative to the elements, uncorrected comes out at -0.903 eV per atom. The total moment is 0.00 μB/f.u.